Compound: Ca2V2PbO8
Source: Alexandria
Functional: GGA+U
Structure: relaxed

a = 7.2505 Å, b = 7.2505 Å, c = 7.2505 Å
α = 46.50°, β = 46.50°, γ = 46.50°
Closest atoms and distances in Å follow each position.
Atoms (fractional coordinates):
1 Ca 0.0000 0.0000 0.0000  4 O 2.30-2.48
2 Ca 0.1942 0.1942 0.1942  6 O 2.49-2.51
3 V 0.5978 0.5978 0.5978  4 O 1.69-1.75
4 V 0.7928 0.7928 0.7928  4 O 1.72-1.76
5 Pb 0.3890 0.3890 0.3890  4 O 2.35-2.50
6 O 0.4277 0.9302 0.9302  1 V 1.76
7 O 0.4559 0.4559 0.9619  1 V 1.75
8 O 0.4559 0.9619 0.4559  1 V 1.75
9 O 0.5104 0.5104 0.5104  1 V 1.69
10 O 0.8814 0.8814 0.8814  1 V 1.72
11 O 0.9302 0.4277 0.9302  1 V 1.76
12 O 0.9302 0.9302 0.4277  1 V 1.76
13 O 0.9619 0.4559 0.4559  1 V 1.75

Results
Its total energy is -91.1 eV per formula unit. Its crystal system is trigonal.